No. 1
Computed, not measured: a geometry-optimized Tb5Pm6Er2 structure at the PBE level of DFT.

Values from the calculation:
- ρ: 7.65 g cm⁻³
- Energy: -118.988 eV per cell
- Spin magnetization: 0.00 μB/cell

a = 11.6843 Å, b = 20.5794 Å, c = 3.6105 Å
α = 90.00°, β = 90.00°, γ = 90.00°
Space group Pbam (No. 55)
Symmetry-distinct sites (fractional):
Tb 0.0000 0.0000 0.0000 [2 per cell]
Tb 0.0907 0.2735 0.0000 [4 per cell]
Tb 0.1980 0.5552 0.0000 [4 per cell]
Pm 0.0609 0.4196 0.5000 [4 per cell]
Pm 0.0825 0.1327 0.5000 [4 per cell]
Pm 0.1733 0.8638 0.0000 [4 per cell]
Er 0.1673 0.7104 0.5000 [4 per cell]

=====

No. 2
Computed, not measured: a geometry-optimized TbPm5Er6 structure at the PBE level of DFT.

Values from the calculation:
- ρ: 8.13 g cm⁻³
- Energy: -111.086 eV per cell
- Spin magnetization: 0.00 μB/cell

a = 5.0655 Å, b = 10.0254 Å, c = 15.1916 Å
α = 90.00°, β = 90.00°, γ = 90.00°
Space group Immm (No. 71)
Symmetry-distinct sites (fractional):
Tb 0.0000 0.0000 0.0000 [2 per cell]
Pm 0.0000 0.0000 0.3333 [4 per cell]
Pm 0.0000 0.5000 0.0000 [2 per cell]
Pm 0.0000 0.5000 0.3342 [4 per cell]
Er 0.0000 0.2495 0.1664 [8 per cell]
Er 0.0000 0.2509 0.5000 [4 per cell]

=====

No. 3
Computed, not measured: a geometry-optimized Tb4PmEr10 structure at the PBE level of DFT.

Values from the calculation:
- ρ: 7.99 g cm⁻³
- Energy: -123.526 eV per cell
- Spin magnetization: 0.00 μB/cell

a = 9.7352 Å, b = 9.7352 Å, c = 10.7617 Å
α = 90.00°, β = 90.00°, γ = 90.00°
Space group I4/m (No. 87)
Symmetry-distinct sites (fractional):
Tb 0.0548 0.2905 0.0000 [8 per cell]
Pm 0.0000 0.0000 0.5000 [2 per cell]
Er 0.0000 0.5000 0.2500 [4 per cell]
Er 0.1223 0.2196 0.3318 [16 per cell]

=====

No. 4
Computed, not measured: a geometry-optimized Tb3Pm2Er6 structure at the PBE level of DFT.

Values from the calculation:
- ρ: 8.01 g cm⁻³
- ΔE to the lowest computed polymorph: 84.1 meV/atom
- Spin magnetization: 0.00 μB/cell

a = 4.7133 Å, b = 4.7133 Å, c = 33.0496 Å
α = 90.00°, β = 90.00°, γ = 90.00°
Space group I4/mmm (No. 139)
Symmetry-distinct sites (fractional):
Tb 0.0000 0.0000 0.0000 [2 per cell]
Tb 0.0000 0.0000 0.2018 [4 per cell]
Pm 0.0000 0.0000 0.4539 [4 per cell]
Er 0.0000 0.0000 0.3051 [4 per cell]
Er 0.0000 0.5000 0.1219 [8 per cell]

=====

No. 5
Computed, not measured: a geometry-optimized Tb7PmEr4 structure at the PBE level of DFT.

Values from the calculation:
- ρ: 8.41 g cm⁻³
- ΔE to the lowest computed polymorph: 0.0 meV/atom
- Spin magnetization: 0.00 μB/cell

a = 6.2001 Å, b = 7.1628 Å, c = 8.8209 Å
α = 89.98°, β = 76.28°, γ = 89.94°
Space group P-1 (No. 2)
Symmetry-distinct sites (fractional):
Tb 0.0000 0.0000 0.0000 [1 per cell]
Tb 0.2220 0.5002 0.3346 [2 per cell]
Tb 0.2795 0.2485 0.6646 [2 per cell]
Tb 0.5003 0.2483 0.0004 [2 per cell]
Pm 0.0000 0.5000 0.0000 [1 per cell]
Er 0.2203 0.0001 0.3348 [2 per cell]
Er 0.2789 0.7515 0.6653 [2 per cell]

=====

No. 6
Computed, not measured: a geometry-optimized TbPmEr2 structure at the PBE level of DFT.

Values from the calculation:
- ρ: 8.23 g cm⁻³
- ΔE to the lowest computed polymorph: 0.0 meV/atom
- Spin magnetization: 0.00 μB/cell

a = 6.2543 Å, b = 7.2592 Å, c = 11.3493 Å
α = 90.00°, β = 90.01°, γ = 90.00°
Space group P2/c (No. 13)
Symmetry-distinct sites (fractional):
Tb 0.1657 0.2468 0.3761 [4 per cell]
Pm 0.3313 0.4992 0.1250 [4 per cell]
Er 0.1679 0.2458 0.8739 [4 per cell]
Er 0.3327 0.0005 0.1250 [4 per cell]

=====

No. 7
Computed, not measured: a geometry-optimized Tb3Pm4Er2 structure at the PBE level of DFT.

Values from the calculation:
- ρ: 7.87 g cm⁻³
- ΔE to the lowest computed polymorph: 40.7 meV/atom
- Spin magnetization: 0.00 μB/cell

a = 9.8135 Å, b = 16.9466 Å, c = 7.0614 Å
α = 90.00°, β = 90.00°, γ = 90.00°
Space group Cccm (No. 66)
Symmetry-distinct sites (fractional):
Tb 0.0000 0.0000 0.2500 [4 per cell]
Tb 0.0000 0.3293 0.2500 [8 per cell]
Pm 0.1536 0.1715 0.0000 [8 per cell]
Pm 0.1656 0.4880 0.0000 [8 per cell]
Er 0.1816 0.1618 0.5000 [8 per cell]

=====

No. 8
Computed, not measured: a geometry-optimized TbPm2Er2 structure at the PBE level of DFT.

Values from the calculation:
- ρ: 7.83 g cm⁻³
- ΔE to the lowest computed polymorph: 106.6 meV/atom
- Spin magnetization: 0.00 μB/cell

a = 3.5312 Å, b = 5.7514 Å, c = 16.3528 Å
α = 90.00°, β = 90.00°, γ = 90.00°
Space group Amm2 (No. 38)
Symmetry-distinct sites (fractional):
Tb 0.0000 0.0000 0.0000 [2 per cell]
Pm 0.0000 0.0000 0.7659 [2 per cell]
Pm 0.5000 0.0000 0.1921 [2 per cell]
Er 0.0000 0.0000 0.3838 [2 per cell]
Er 0.5000 0.0000 0.5715 [2 per cell]